(1)
Below is a relaxed structure of Ca2InAu2, with properties calculated at the PBE level.

Geometry as POSCAR:
```
Ca2InAu2
1.0
-1.953 1.953 8.809
1.953 -1.953 8.809
1.953 1.953 -8.809
Ca In Au
2 1 2
Direct
0.113 0.113 0.000
0.887 0.887 0.000
0.500 0.500 0.000
0.250 0.750 0.500
0.750 0.250 0.500
```

Output
SG: I4/mmm, No. 139
energy: -3.13 eV/atom
ΔE_f: -0.475 eV/atom

---

(2)
Below is a relaxed structure of Ca2InAu7, with properties calculated at the PBE level.

Geometry as POSCAR:
```
Ca2InAu7
1.0
0.000 5.179 5.179
5.179 0.000 5.179
5.179 5.179 0.000
Ca In Au
2 1 7
Direct
0.250 0.250 0.250
0.750 0.750 0.750
0.000 0.000 0.000
0.250 0.250 0.750
0.250 0.750 0.250
0.250 0.750 0.750
0.500 0.500 0.500
0.750 0.250 0.250
0.750 0.250 0.750
0.750 0.750 0.250
```

Output
SG: Fm-3m, No. 225
energy: -3.04 eV/atom
ΔE_f: -0.071 eV/atom
offset from the most stable computed form: 0.392 eV per atom

---

(3)
Below is a relaxed structure of CaIn3Au, with properties calculated at the PBE level.

Geometry as POSCAR:
```
CaIn3Au
1.0
9.260 0.000 0.000
0.000 4.501 0.000
0.000 0.000 12.196
Ca In Au
4 12 4
Direct
0.193 0.250 0.003
0.307 0.750 0.503
0.693 0.250 0.497
0.807 0.750 0.997
0.065 0.250 0.405
0.085 0.750 0.189
0.146 0.750 0.796
0.354 0.250 0.296
0.415 0.250 0.689
0.435 0.750 0.905
0.565 0.250 0.095
0.585 0.750 0.311
0.646 0.750 0.704
0.854 0.250 0.204
0.915 0.250 0.811
0.935 0.750 0.595
0.122 0.250 0.634
0.378 0.750 0.134
0.622 0.250 0.866
0.878 0.750 0.366
```

Output
SG: Pnma, No. 62
energy: -3.06 eV/atom
ΔE_f: -0.364 eV/atom

---

(4)
Below is a relaxed structure of CaIn3Au, with properties calculated at the PBE level.

Geometry as POSCAR:
```
CaIn3Au
1.0
6.053 0.000 0.000
0.000 6.382 0.000
-2.838 0.000 6.669
Ca In Au
2 6 2
Direct
0.088 0.250 0.368
0.912 0.750 0.632
0.094 0.250 0.891
0.485 0.510 0.202
0.485 0.990 0.202
0.515 0.010 0.798
0.515 0.490 0.798
0.906 0.750 0.109
0.303 0.750 0.461
0.697 0.250 0.539
```

Output
SG: P2_1/m, No. 11
energy: -3.07 eV/atom
ΔE_f: -0.368 eV/atom

---

(5)
Below is a relaxed structure of Ca3In3Au8, with properties calculated at the PBE level.

Geometry as POSCAR:
```
Ca3In3Au8
1.0
-2.207 5.240 6.936
2.207 -5.240 6.936
2.207 5.240 -6.936
Ca In Au
3 3 8
Direct
0.000 0.000 0.000
0.291 0.291 0.000
0.709 0.709 0.000
0.290 0.500 0.790
0.500 0.000 0.500
0.710 0.500 0.210
0.030 0.660 0.371
0.159 0.859 0.300
0.289 0.660 0.629
0.441 0.141 0.300
0.559 0.859 0.700
0.711 0.340 0.371
0.841 0.141 0.700
0.970 0.340 0.629
```

Output
SG: Immm, No. 71
energy: -3.39 eV/atom
ΔE_f: -0.502 eV/atom

---

(6)
Below is a relaxed structure of CaIn2Au2, with properties calculated at the PBE level.

Geometry as POSCAR:
```
CaIn2Au2
1.0
-2.518 2.518 5.037
2.518 -2.518 5.037
2.518 2.518 -5.037
Ca In Au
1 2 2
Direct
0.000 0.000 0.000
0.361 0.361 0.000
0.639 0.639 0.000
0.250 0.750 0.500
0.750 0.250 0.500
```

Output
SG: I4/mmm, No. 139
energy: -3.20 eV/atom
ΔE_f: -0.392 eV/atom

---

(7)
Below is a relaxed structure of Ca2InAu6, with properties calculated at the PBE level.

Geometry as POSCAR:
```
Ca2InAu6
1.0
6.285 0.000 0.000
-3.142 5.443 0.000
0.000 0.000 5.823
Ca In Au
2 1 6
Direct
0.333 0.667 0.336
0.667 0.333 0.664
0.000 0.000 0.500
0.184 0.368 0.823
0.184 0.816 0.823
0.368 0.184 0.177
0.632 0.816 0.823
0.816 0.184 0.177
0.816 0.632 0.177
```

Output
SG: P-3m1, No. 164
energy: -3.46 eV/atom
ΔE_f: -0.530 eV/atom

---

(8)
Below is a relaxed structure of CaIn2Au4, with properties calculated at the PBE level.

Geometry as POSCAR:
```
CaIn2Au4
1.0
17.310 0.000 0.000
0.000 4.778 0.000
0.000 0.000 7.590
Ca In Au
4 8 16
Direct
0.146 0.250 0.037
0.354 0.750 0.537
0.646 0.250 0.463
0.854 0.750 0.963
0.009 0.750 0.279
0.215 0.250 0.580
0.285 0.750 0.080
0.491 0.250 0.779
0.509 0.750 0.221
0.715 0.250 0.920
0.785 0.750 0.420
0.991 0.250 0.721
0.037 0.750 0.908
0.075 0.250 0.404
0.178 0.750 0.369
0.190 0.750 0.774
0.310 0.250 0.274
0.322 0.250 0.869
0.425 0.750 0.904
0.463 0.250 0.408
0.537 0.750 0.592
0.575 0.250 0.096
0.678 0.750 0.131
0.690 0.750 0.726
0.810 0.250 0.226
0.822 0.250 0.631
0.925 0.750 0.596
0.963 0.250 0.092
```

Output
SG: Pnma, No. 62
energy: -3.34 eV/atom
ΔE_f: -0.400 eV/atom

---

(9)
Below is a relaxed structure of CaInAu, with properties calculated at the PBE level.

Geometry as POSCAR:
```
CaInAu
1.0
-1.879 1.879 5.140
1.879 -1.879 5.140
1.879 1.879 -5.140
Ca In Au
1 1 1
Direct
0.000 0.000 0.000
0.693 0.693 0.000
0.331 0.331 0.000
```

Output
SG: I4mm, No. 107
energy: -3.19 eV/atom
ΔE_f: -0.522 eV/atom

---

(10)
Below is a relaxed structure of Ca3In2Au7, with properties calculated at the PBE level.

Geometry as POSCAR:
```
Ca3In2Au7
1.0
-2.116 2.116 15.354
2.116 -2.116 15.354
2.116 2.116 -15.354
Ca In Au
3 2 7
Direct
0.000 0.000 0.000
0.182 0.182 0.000
0.818 0.818 0.000
0.368 0.368 0.000
0.632 0.632 0.000
0.072 0.572 0.500
0.278 0.278 0.000
0.428 0.928 0.500
0.500 0.500 0.000
0.572 0.072 0.500
0.722 0.722 0.000
0.928 0.428 0.500
```

Output
SG: I4/mmm, No. 139
energy: -3.33 eV/atom
ΔE_f: -0.460 eV/atom

---

(11)
Below is a relaxed structure of CaIn2Au6, with properties calculated at the PBE level.

Geometry as POSCAR:
```
CaIn2Au6
1.0
-1.844 3.767 7.113
1.844 -3.767 7.113
1.844 3.767 -7.113
Ca In Au
1 2 6
Direct
0.000 0.000 0.000
0.358 0.858 0.500
0.642 0.142 0.500
0.006 0.321 0.685
0.317 0.500 0.817
0.363 0.679 0.685
0.637 0.321 0.315
0.683 0.500 0.183
0.994 0.679 0.315
```

Output
SG: Immm, No. 71
energy: -3.32 eV/atom
ΔE_f: -0.306 eV/atom
offset from the most stable computed form: 0.014 eV per atom

---

(12)
Below is a relaxed structure of Ca5InAu6, with properties calculated at the PBE level.

Geometry as POSCAR:
```
Ca5InAu6
1.0
4.414 -7.615 0.000
4.414 7.615 0.000
-2.959 0.000 4.192
Ca In Au
5 1 6
Direct
0.000 0.000 0.000
0.169 0.831 0.500
0.341 0.659 0.000
0.659 0.341 0.000
0.831 0.169 0.500
0.500 0.500 0.500
0.078 0.415 0.245
0.239 0.239 0.740
0.415 0.078 0.245
0.585 0.922 0.755
0.761 0.761 0.260
0.922 0.585 0.755
```

Output
SG: C2/m, No. 12
energy: -3.42 eV/atom
ΔE_f: -0.723 eV/atom